The following is a GGA-PBE calculation of an optimized crystal structure of La4Sm6Th, from Alexandria via LeMat-Bulk.

a b c (Å): 5.9716 5.7406 26.2107
angles (deg): 90.00 90.00 121.34
Positions (direct):
La1 0.8499 0.6999 0.5447
La2 0.4471 0.8943 0.1226
La3 0.1501 0.3001 0.4553
La4 0.5529 0.1057 0.8774
La5 0.8499 0.6999 0.9553
La6 0.1501 0.3001 0.0447
La7 0.5529 0.1057 0.6226
La8 0.4471 0.8943 0.3774
Sm1 0.5000 0.0000 0.0000
Sm2 0.5000 0.0000 0.5000
Sm3 0.1159 0.2318 0.3157
Sm4 0.8841 0.7682 0.6843
Sm5 0.8841 0.7682 0.8157
Sm6 0.1159 0.2318 0.1843
Sm7 0.7987 0.5974 0.3954
Sm8 0.2013 0.4026 0.6046
Sm9 0.2013 0.4026 0.8954
Sm10 0.7987 0.5974 0.1046
Sm11 0.4429 0.8859 0.2500
Sm12 0.5571 0.1141 0.7500
Th1 0.7826 0.5651 0.2500
Th2 0.2174 0.4349 0.7500

Energy relative to the elements (meV/atom): 130.4
Density of states at the Fermi level (states/eV per cell): 37.839
M_tot (μB/f.u.): 0.00
Calculated volume (Å³/cell): 767.41
Symmetry: Cmcm, No. 63
Calculated density (g/cm3): 7.3